#A
DFT (meta-GGA SCAN) results for a PBEsol-optimized structure of MgSbP2.

Cell: 4.735 4.735 4.735 Å, 60.00 60.00 60.00°
Fractional coordinates of all 4 atoms:
Sb1 0.500 0.500 0.500
Mg1 0.000 0.000 0.000
P1 0.250 0.250 0.250
P2 0.750 0.750 0.750

## Properties
D(E_F) in states/eV/f.u.: 2.0
Mass density in Mg/m³: 4.6

=====

#B
DFT (meta-GGA SCAN) results for a PBEsol-optimized structure of MgSbP2.

Cell: 3.347 4.690 4.690 Å, 90.00 90.00 90.00°
Fractional coordinates of all 4 atoms:
Sb1 0.500 0.500 0.500
Mg1 0.500 0.000 0.000
P1 0.000 0.000 0.500
P2 0.000 0.500 0.000

## Properties
D(E_F) in states/eV/f.u.: 2.2
Mass density in Mg/m³: 4.7

=====

In terms of stability, #B leads; the second structure lies 0.061 eV/atom higher.

=====

#A
DFT (meta-GGA SCAN) results for a PBEsol-optimized structure of Mg2SbP.

Cell: 3.890 4.061 6.102 Å, 109.09 108.58 90.00°
Fractional coordinates of all 4 atoms:
Mg1 0.000 0.865 0.000
Mg2 0.716 0.338 0.431
P1 0.501 0.388 0.001
Sb1 0.284 0.909 0.568

## Properties
D(E_F) in states/eV/f.u.: 0.9
Mass density in Mg/m³: 3.9

=====

#B
DFT (meta-GGA SCAN) results for a PBEsol-optimized structure of Mg2SbP.

Cell: 3.280 4.628 5.593 Å, 90.00 90.00 90.00°
Fractional coordinates of all 4 atoms:
Mg1 0.125 0.945 0.000
Mg2 0.625 0.319 0.500
P1 0.625 0.421 0.000
Sb1 0.125 0.815 0.500

## Properties
D(E_F) in states/eV/f.u.: 2.3
Mass density in Mg/m³: 3.9

=====

#C
DFT (meta-GGA SCAN) results for a PBEsol-optimized structure of Mg2SbP.

Cell: 4.885 4.885 4.885 Å, 60.00 60.00 60.00°
Fractional coordinates of all 4 atoms:
Mg1 0.000 0.000 0.000
Mg2 0.750 0.750 0.750
P1 0.500 0.500 0.500
Sb1 0.250 0.250 0.250

## Properties
D(E_F) in states/eV/f.u.: 1.8
Mass density in Mg/m³: 4.1

=====

In terms of stability, #A leads; the second structure lies 0.102 eV/atom higher.

=====

#A
DFT (meta-GGA SCAN) results for a PBEsol-optimized structure of MgP2Se.

Cell: 3.510 3.510 6.154 Å, 90.00 90.00 90.00°
Fractional coordinates of all 4 atoms:
P1 0.000 0.500 0.000
P2 0.500 0.000 0.000
Mg1 0.000 0.000 0.500
Se1 0.500 0.500 0.500

## Properties
D(E_F) in states/eV/f.u.: 2.3
Mass density in Mg/m³: 3.6

=====

#B
DFT (meta-GGA SCAN) results for a PBEsol-optimized structure of MgP2Se.

Cell: 3.150 4.620 4.620 Å, 90.00 90.00 90.00°
Fractional coordinates of all 4 atoms:
P1 0.000 0.000 0.500
P2 0.000 0.500 0.000
Mg1 0.500 0.000 0.000
Se1 0.500 0.500 0.500

## Properties
D(E_F) in states/eV/f.u.: 2.1
Mass density in Mg/m³: 4.1

=====

In terms of stability, #A leads; the second structure lies 0.339 eV/atom higher.

=====

#A
DFT (meta-GGA SCAN) results for a PBEsol-optimized structure of Sr2MgP.

Cell: 3.707 3.707 8.911 Å, 90.00 90.00 89.95°
Last column: magnetic moment on the atom in μB.
Fractional coordinates of all 4 atoms:
Mg1 0.000 0.000 0.424  0.03
P1 0.500 0.500 0.305  0.05
Sr1 0.000 0.000 0.088  0.05
Sr2 0.500 0.500 0.683  0.05

## Properties
D(E_F) in states/eV/f.u.: 2.1
Mass density in Mg/m³: 3.1

=====

#B
DFT (meta-GGA SCAN) results for a PBEsol-optimized structure of Sr2MgP.

Cell: 3.892 3.892 7.556 Å, 90.00 90.00 90.00°
Fractional coordinates of all 4 atoms:
Mg1 0.500 0.500 0.000
P1 0.500 0.500 0.500
Sr1 0.000 0.000 0.704
Sr2 0.000 0.000 0.296

## Properties
D(E_F) in states/eV/f.u.: 1.1
Mass density in Mg/m³: 3.3

=====

In terms of stability, #B leads; the second structure lies 0.254 eV/atom higher.